## Rb2BaF4 (GGA-PBE)

Data for an optimized crystal structure of Rb2BaF4.

Cell: 8.1340 8.1340 8.1340 Å, 143.47 143.47 52.62°
Last column: nearest neighbours and their distance in Å.
Sites, in units of the cell vectors:
Rb 0.1460 0.1460 0.0000  1 F 2.60
Rb 0.8540 0.8540 0.0000  1 F 2.60
Ba 0.5000 0.5000 0.0000  6 F 2.55-2.57
F 0.0000 0.5000 0.5000  2 Ba 2.55
F 0.3241 0.3241 0.0000  1 Ba 2.57, 1 Rb 2.60
F 0.5000 0.0000 0.5000  2 Ba 2.55
F 0.6759 0.6759 0.0000  1 Ba 2.57, 1 Rb 2.60

Output
**Raw total energy**: -4.69 eV/atom
**Uncorrected formation energy**: -296.2 kJ per mole of atoms
**Energy above the lowest structure with this stoichiometry**: 62.8 meV per atom

---

## RbBaF3 (GGA-PBE)

Data for an optimized crystal structure of RbBaF3.

Cell: 8.4427 4.6284 6.5689 Å, 90.00 90.00 90.00°
Last column: nearest neighbours and their distance in Å.
Sites, in units of the cell vectors:
Rb 0.0000 0.0000 0.0000  6 F 2.79-2.92
Rb 0.5000 0.0000 0.0000  6 F 2.79-2.92
Ba 0.2500 0.5000 0.4449  6 F 2.56-2.71
Ba 0.7500 0.5000 0.5551  6 F 2.56-2.71
F 0.0392 0.5000 0.7335  2 Ba 2.60-2.71
F 0.2500 0.0000 0.2777  2 Ba 2.56, 2 Rb 2.79
F 0.4608 0.5000 0.7335  2 Ba 2.60-2.71
F 0.5392 0.5000 0.2665  2 Ba 2.60-2.71
F 0.7500 0.0000 0.7223  2 Ba 2.56, 2 Rb 2.79
F 0.9608 0.5000 0.2665  2 Ba 2.60-2.71

Output
**Raw total energy**: -5.03 eV/atom
**Uncorrected formation energy**: -320.8 kJ per mole of atoms

---

## Rb3BaF (GGA-PBE)

Data for an optimized crystal structure of Rb3BaF.

Cell: 8.5650 8.5650 8.5650 Å, 90.00 90.00 90.00°
Last column: nearest neighbours and their distance in Å.
Sites, in units of the cell vectors:
Rb 0.0000 0.0000 0.5000  2 Ba 4.28
Rb 0.0000 0.5000 0.0000  2 Ba 4.28
Rb 0.5000 0.0000 0.0000  2 Ba 4.28
Ba 0.0000 0.0000 0.0000  6 Rb 4.28
F 0.5000 0.5000 0.5000  none within 6

Output
**Raw total energy**: -1.32 eV/atom
**Uncorrected formation energy**: 2.0 kJ per mole of atoms
**Energy above the lowest structure with this stoichiometry**: 806.5 meV per atom

---

## Rb2BaF (GGA-PBE)

Data for an optimized crystal structure of Rb2BaF.

Cell: 8.7103 8.7103 8.7103 Å, 120.11 120.11 89.81°
Last column: nearest neighbours and their distance in Å.
Sites, in units of the cell vectors:
Rb 0.0000 0.0000 0.0000  2 F 2.67
Rb 0.0000 0.0000 0.5000  2 F 2.67
Rb 0.0000 0.5000 0.0000  2 F 2.67
Rb 0.5000 0.0000 0.5000  2 F 2.67
Ba 0.3750 0.6250 0.7500  12 Rb 5.10-5.11, 4 Ba 5.33, 4 F 5.33
Ba 0.6250 0.3750 0.2500  12 Rb 5.10-5.11, 4 Ba 5.33, 4 F 5.33
F 0.1250 0.8750 0.2500  4 Rb 2.67
F 0.8750 0.1250 0.7500  4 Rb 2.67

Output
**Raw total energy**: -2.56 eV/atom
**Uncorrected formation energy**: -108.4 kJ per mole of atoms
**Energy above the lowest structure with this stoichiometry**: 0.0 meV per atom

---

## Rb3BaF (GGA-PBE)

Data for an optimized crystal structure of Rb3BaF.

Cell: 6.3959 6.3959 6.3959 Å, 90.00 90.00 90.00°
Last column: nearest neighbours and their distance in Å.
Sites, in units of the cell vectors:
Rb 0.0000 0.0000 0.5000  2 F 3.20
Rb 0.0000 0.5000 0.0000  2 F 3.20
Rb 0.5000 0.0000 0.0000  2 F 3.20
Ba 0.5000 0.5000 0.5000  12 Rb 4.52
F 0.0000 0.0000 0.0000  6 Rb 3.20

Output
**Raw total energy**: -2.13 eV/atom
**Uncorrected formation energy**: -75.9 kJ per mole of atoms
**Energy above the lowest structure with this stoichiometry**: 0.0 meV per atom

---

## RbBaF2 (GGA-PBE)

Data for an optimized crystal structure of RbBaF2.

Cell: 5.0333 5.0333 5.0333 Å, 60.00 60.00 60.00°
Last column: nearest neighbours and their distance in Å.
Sites, in units of the cell vectors:
Rb 0.0000 0.0000 0.0000  8 F 3.08
Ba 0.5000 0.5000 0.5000  8 F 3.08
F 0.2500 0.2500 0.2500  4 Ba 3.08, 4 Rb 3.08
F 0.7500 0.7500 0.7500  4 Rb 3.08, 4 Ba 3.08

Output
**Raw total energy**: -3.86 eV/atom
**Uncorrected formation energy**: -212.2 kJ per mole of atoms
**Energy above the lowest structure with this stoichiometry**: 562.8 meV per atom

---

## Rb5Ba3F12 (GGA-PBE)

Data for an optimized crystal structure of Rb5Ba3F12.

Cell: 13.5790 13.5790 13.5790 Å, 109.47 109.47 109.47°
Last column: nearest neighbours and their distance in Å.
Sites, in units of the cell vectors:
Rb 0.0000 0.0000 0.0000  6 F 2.77
Rb 0.0000 0.0000 0.5000  6 F 2.77
Rb 0.0000 0.5000 0.0000  6 F 2.77
Rb 0.0000 0.5000 0.5000  6 F 2.77
Rb 0.1250 0.7500 0.8750  4 F 2.60
Rb 0.1250 0.8750 0.2500  4 F 2.60
Rb 0.2500 0.1250 0.8750  4 F 2.60
Rb 0.2500 0.6250 0.3750  4 F 2.60
Rb 0.3750 0.2500 0.6250  4 F 2.60
Rb 0.3750 0.6250 0.7500  4 F 2.60
Rb 0.5000 0.0000 0.0000  6 F 2.77
Rb 0.5000 0.0000 0.5000  6 F 2.77
Rb 0.5000 0.5000 0.0000  6 F 2.77
Rb 0.5000 0.5000 0.5000  6 F 2.77
Rb 0.6250 0.3750 0.2500  4 F 2.60
Rb 0.6250 0.7500 0.3750  4 F 2.60
Rb 0.7500 0.3750 0.6250  4 F 2.60
Rb 0.7500 0.8750 0.1250  4 F 2.60
Rb 0.8750 0.1250 0.7500  4 F 2.60
Rb 0.8750 0.2500 0.1250  4 F 2.60
Ba 0.1250 0.2500 0.3750  8 F 2.72-2.90
Ba 0.1250 0.3750 0.7500  8 F 2.72-2.90
Ba 0.2500 0.3750 0.1250  8 F 2.72-2.90
Ba 0.2500 0.8750 0.6250  8 F 2.72-2.90
Ba 0.3750 0.1250 0.2500  8 F 2.72-2.90
Ba 0.3750 0.7500 0.1250  8 F 2.72-2.90
Ba 0.6250 0.2500 0.8750  8 F 2.72-2.90
Ba 0.6250 0.8750 0.7500  8 F 2.72-2.90
Ba 0.7500 0.1250 0.3750  8 F 2.72-2.90
Ba 0.7500 0.6250 0.8750  8 F 2.72-2.90
Ba 0.8750 0.6250 0.2500  8 F 2.72-2.90
Ba 0.8750 0.7500 0.6250  8 F 2.72-2.90
F 0.0668 0.2373 0.1439  2 Rb 2.60-2.77, 2 Ba 2.72-2.90, 1 F 2.74
F 0.0668 0.3295 0.9229  2 Rb 2.60-2.77, 2 Ba 2.72-2.90, 1 F 2.74
F 0.0771 0.6439 0.4066  2 Rb 2.60-2.77, 2 Ba 2.72-2.90, 1 F 2.74
F 0.0771 0.9332 0.6705  2 Rb 2.60-2.77, 2 Ba 2.72-2.90, 1 F 2.74
F 0.0934 0.7373 0.6705  2 Rb 2.60-2.77, 2 Ba 2.72-2.90, 1 F 2.74
F 0.0934 0.8561 0.4229  2 Rb 2.60-2.77, 2 Ba 2.72-2.90, 1 F 2.74
F 0.1439 0.0668 0.2373  2 Rb 2.60-2.77, 2 Ba 2.72-2.90, 1 F 2.74
F 0.1439 0.5771 0.9066  2 Rb 2.60-2.77, 2 Ba 2.72-2.90, 1 F 2.74
F 0.1705 0.2373 0.5934  2 Rb 2.60-2.77, 2 Ba 2.72-2.90, 1 F 2.74
F 0.1705 0.4332 0.5771  2 Rb 2.60-2.77, 2 Ba 2.72-2.90, 1 F 2.74
F 0.2373 0.1439 0.0668  2 Rb 2.60-2.77, 2 Ba 2.72-2.90, 1 F 2.74
F 0.2373 0.5934 0.1705  2 Rb 2.60-2.77, 2 Ba 2.72-2.90, 1 F 2.74
F 0.2627 0.3295 0.9066  2 Rb 2.60-2.77, 2 Ba 2.72-2.90, 1 F 2.74
F 0.2627 0.4332 0.3561  2 Rb 2.60-2.77, 2 Ba 2.72-2.90, 1 F 2.74
F 0.3295 0.9066 0.2627  2 Rb 2.60-2.77, 2 Ba 2.72-2.90, 1 F 2.74
F 0.3295 0.9229 0.0668  2 Rb 2.60-2.77, 2 Ba 2.72-2.90, 1 F 2.74
F 0.3561 0.2627 0.4332  2 Rb 2.60-2.77, 2 Ba 2.72-2.90, 1 F 2.74
F 0.3561 0.5934 0.9229  2 Rb 2.60-2.77, 2 Ba 2.72-2.90, 1 F 2.74
F 0.4066 0.0771 0.6439  2 Rb 2.60-2.77, 2 Ba 2.72-2.90, 1 F 2.74
F 0.4066 0.8295 0.7627  2 Rb 2.60-2.77, 2 Ba 2.72-2.90, 1 F 2.74
F 0.4229 0.0934 0.8561  2 Rb 2.60-2.77, 2 Ba 2.72-2.90, 1 F 2.74
F 0.4229 0.8295 0.5668  2 Rb 2.60-2.77, 2 Ba 2.72-2.90, 1 F 2.74
F 0.4332 0.3561 0.2627  2 Rb 2.60-2.77, 2 Ba 2.72-2.90, 1 F 2.74
F 0.4332 0.5771 0.1705  2 Rb 2.60-2.77, 2 Ba 2.72-2.90, 1 F 2.74
F 0.5668 0.4229 0.8295  2 Rb 2.60-2.77, 2 Ba 2.72-2.90, 1 F 2.74
F 0.5668 0.6439 0.7373  2 Rb 2.60-2.77, 2 Ba 2.72-2.90, 1 F 2.74
F 0.5771 0.1705 0.4332  2 Rb 2.60-2.77, 2 Ba 2.72-2.90, 1 F 2.74
F 0.5771 0.9066 0.1439  2 Rb 2.60-2.77, 2 Ba 2.72-2.90, 1 F 2.74
F 0.5934 0.1705 0.2373  2 Rb 2.60-2.77, 2 Ba 2.72-2.90, 1 F 2.74
F 0.5934 0.9229 0.3561  2 Rb 2.60-2.77, 2 Ba 2.72-2.90, 1 F 2.74
F 0.6439 0.4066 0.0771  2 Rb 2.60-2.77, 2 Ba 2.72-2.90, 1 F 2.74
F 0.6439 0.7373 0.5668  2 Rb 2.60-2.77, 2 Ba 2.72-2.90, 1 F 2.74
F 0.6705 0.0771 0.9332  2 Rb 2.60-2.77, 2 Ba 2.72-2.90, 1 F 2.74
F 0.6705 0.0934 0.7373  2 Rb 2.60-2.77, 2 Ba 2.72-2.90, 1 F 2.74
F 0.7373 0.5668 0.6439  2 Rb 2.60-2.77, 2 Ba 2.72-2.90, 1 F 2.74
F 0.7373 0.6705 0.0934  2 Rb 2.60-2.77, 2 Ba 2.72-2.90, 1 F 2.74
F 0.7627 0.4066 0.8295  2 Rb 2.60-2.77, 2 Ba 2.72-2.90, 1 F 2.74
F 0.7627 0.8561 0.9332  2 Rb 2.60-2.77, 2 Ba 2.72-2.90, 1 F 2.74
F 0.8295 0.5668 0.4229  2 Rb 2.60-2.77, 2 Ba 2.72-2.90, 1 F 2.74
F 0.8295 0.7627 0.4066  2 Rb 2.60-2.77, 2 Ba 2.72-2.90, 1 F 2.74
F 0.8561 0.4229 0.0934  2 Rb 2.60-2.77, 2 Ba 2.72-2.90, 1 F 2.74
F 0.8561 0.9332 0.7627  2 Rb 2.60-2.77, 2 Ba 2.72-2.90, 1 F 2.74
F 0.9066 0.1439 0.5771  2 Rb 2.60-2.77, 2 Ba 2.72-2.90, 1 F 2.74
F 0.9066 0.2627 0.3295  2 Rb 2.60-2.77, 2 Ba 2.72-2.90, 1 F 2.74
F 0.9229 0.0668 0.3295  2 Rb 2.60-2.77, 2 Ba 2.72-2.90, 1 F 2.74
F 0.9229 0.3561 0.5934  2 Rb 2.60-2.77, 2 Ba 2.72-2.90, 1 F 2.74
F 0.9332 0.6705 0.0771  2 Rb 2.60-2.77, 2 Ba 2.72-2.90, 1 F 2.74
F 0.9332 0.7627 0.8561  2 Rb 2.60-2.77, 2 Ba 2.72-2.90, 1 F 2.74

Output
**Raw total energy**: -4.63 eV/atom
**Uncorrected formation energy**: -287.1 kJ per mole of atoms

---

## RbBa2F8 (GGA-PBE)

Data for an optimized crystal structure of RbBa2F8.

Cell: 8.1889 8.1889 6.4678 Å, 113.21 113.21 32.69°
Last column: nearest neighbours and their distance in Å.
Sites, in units of the cell vectors:
Rb 0.0000 0.0000 0.0000  4 F 2.78-2.89
Ba 0.3173 0.3173 0.2925  10 F 2.61-2.85
Ba 0.6827 0.6827 0.7075  10 F 2.61-2.85
F 0.1525 0.1525 0.4457  1 F 2.00
F 0.1622 0.1622 0.9250  3 Ba 2.61-2.79, 1 Rb 2.78, 1 F 2.87
F 0.2823 0.2823 0.6906  1 F 2.00
F 0.4979 0.4979 0.6531  1 F 2.01
F 0.5021 0.5021 0.3469  1 F 2.01
F 0.7177 0.7177 0.3094  1 F 2.00
F 0.8378 0.8378 0.0750  3 Ba 2.61-2.79, 1 Rb 2.78, 1 F 2.87
F 0.8475 0.8475 0.5543  1 F 2.00

Output
**Raw total energy**: -4.38 eV/atom
**Uncorrected formation energy**: -249.4 kJ per mole of atoms

---

Q: raw total energy of number 3 (Rb3BaF)?
A: -1.32 eV/atom